## NaTl5Sn (GGA-PBE)

Data for a geometry-optimized NaTl5Sn structure.

a = 4.965 Å, b = 4.965 Å, c = 8.853 Å
α = 90.00°, β = 90.00°, γ = 90.00°
Positions (direct):
Na1 0.000 0.000 0.000
Tl1 0.000 0.500 0.273
Tl2 0.000 0.500 0.727
Tl3 0.500 0.000 0.273
Tl4 0.500 0.000 0.727
Tl5 0.500 0.500 0.000
Sn1 0.000 0.000 0.500

Energy relative to the lowest polymorph listed for this composition = 0.0 meV per atom
M_tot = 0.0 μB per formula unit
N(E_F) = 3.5 states/eV/f.u.
ΔH_f (0 K) = 1 kJ/mol of formula units
Calculated total energy = -2.45 eV per atom